SmAgHg | PBE | relaxed

Structure (POSCAR):
```
SmAgHg
1.0
-3.927 -2.471 1.445
-4.367 2.131 -0.051
-3.337 -1.376 -3.253
Ag Hg Sm
1 1 1
direct
0.000 0.000 0.000
0.250 0.250 0.250
0.750 0.750 0.750
```

Values from the calculation:
**Space-group type**: F-43m (216)
**Total energy**: -8.44 eV for the cell shown
**Magnetization**: 0.46 μB per formula unit